(1)
VASP calculation (PBE) on BaMgCdN2 after structural relaxation.

a = 4.444 Å, b = 4.444 Å, c = 5.681 Å
α = 90.00°, β = 90.00°, γ = 90.00°
Positions (direct):
Ba: 0.000 0.000 0.000
Mg: 0.000 0.000 0.500
Cd: 0.500 0.500 0.000
N: 0.000 0.500 0.500
N: 0.500 0.000 0.500

Results
**Uncorrected formation energy**: 1161.2 meV per atom
**Crystal system**: tetragonal
**V**: 22.439 A^3/atom

=====

(2)
VASP calculation (PBE) on BaNaMg2Cd4 after structural relaxation.

a = 10.317 Å, b = 10.317 Å, c = 10.317 Å
α = 28.50°, β = 28.50°, γ = 28.50°
Positions (direct):
Ba: 0.000 0.000 0.000
Na: 0.500 0.500 0.500
Mg: 0.237 0.237 0.237
Mg: 0.763 0.763 0.763
Cd: 0.126 0.126 0.126
Cd: 0.399 0.399 0.399
Cd: 0.601 0.601 0.601
Cd: 0.874 0.874 0.874

Results
**ΔH_f (0 K)**: -0.142 eV/atom
**Crystal system**: trigonal
**V**: 27.628 A^3/atom

=====

(3)
VASP calculation (PBE) on Ba2NaMgCd6 after structural relaxation.

a = 7.790 Å, b = 7.790 Å, c = 7.790 Å
α = 60.00°, β = 60.00°, γ = 60.00°
Positions (direct):
Ba: 0.250 0.250 0.250
Ba: 0.750 0.750 0.750
Na: 0.000 0.000 0.000
Mg: 0.500 0.500 0.500
Cd: 0.251 0.251 0.749
Cd: 0.251 0.749 0.251
Cd: 0.251 0.749 0.749
Cd: 0.749 0.251 0.251
Cd: 0.749 0.251 0.749
Cd: 0.749 0.749 0.251

Results
**ΔH_f (0 K)**: 0.006 eV/atom
**Crystal system**: cubic
**V**: 33.429 A^3/atom

=====

(4)
VASP calculation (PBE) on BaNa2MgCd after structural relaxation.

a = 5.828 Å, b = 5.828 Å, c = 5.544 Å
α = 90.00°, β = 90.00°, γ = 90.00°
Positions (direct):
Ba: 0.000 0.000 0.000
Na: 0.000 0.500 0.500
Na: 0.500 0.000 0.500
Mg: 0.500 0.500 0.000
Cd: 0.500 0.500 0.500

Results
**ΔH_f (0 K)**: 0.055 eV/atom
**Crystal system**: tetragonal
**V**: 37.657 A^3/atom

=====

(5)
VASP calculation (PBE) on Ba2NaMgCd after structural relaxation.

a = 6.717 Å, b = 6.717 Å, c = 5.414 Å
α = 90.00°, β = 90.00°, γ = 90.00°
Positions (direct):
Ba: 0.000 0.500 0.000
Ba: 0.500 0.000 0.000
Na: 0.000 0.000 0.500
Mg: 0.500 0.500 0.500
Cd: 0.500 0.500 0.000

Results
**ΔH_f (0 K)**: 0.030 eV/atom
**Crystal system**: tetragonal
**V**: 48.849 A^3/atom

=====

(6)
VASP calculation (PBE) on Ba2NaMg3Cd12 after structural relaxation.

a = 7.962 Å, b = 7.962 Å, c = 7.962 Å
α = 87.07°, β = 87.07°, γ = 87.07°
Positions (direct):
Ba: 0.208 0.208 0.208
Ba: 0.792 0.792 0.792
Na: 0.500 0.500 0.500
Mg: 0.000 0.500 0.500
Mg: 0.500 0.000 0.500
Mg: 0.500 0.500 0.000
Cd: 0.088 0.088 0.629
Cd: 0.088 0.629 0.088
Cd: 0.222 0.695 0.695
Cd: 0.305 0.305 0.778
Cd: 0.305 0.778 0.305
Cd: 0.371 0.912 0.912
Cd: 0.629 0.088 0.088
Cd: 0.695 0.222 0.695
Cd: 0.695 0.695 0.222
Cd: 0.778 0.305 0.305
Cd: 0.912 0.371 0.912
Cd: 0.912 0.912 0.371

Results
**ΔH_f (0 K)**: -0.040 eV/atom
**Crystal system**: trigonal
**V**: 27.933 A^3/atom

=====

(7)
VASP calculation (PBE) on BaNdMg2Cd4 after structural relaxation.

a = 9.387 Å, b = 9.387 Å, c = 9.387 Å
α = 32.87°, β = 32.87°, γ = 32.87°
Positions (direct):
Ba: 0.000 0.000 0.000
Nd: 0.500 0.500 0.500
Mg: 0.246 0.246 0.246
Mg: 0.754 0.754 0.754
Cd: 0.128 0.128 0.128
Cd: 0.382 0.382 0.382
Cd: 0.618 0.618 0.618
Cd: 0.872 0.872 0.872

Results
**ΔH_f (0 K)**: -0.262 eV/atom
**Crystal system**: trigonal
**V**: 27.102 A^3/atom

=====

(8)
VASP calculation (PBE) on BaMg2CdNi after structural relaxation.

a = 5.031 Å, b = 5.031 Å, c = 5.201 Å
α = 90.00°, β = 90.00°, γ = 90.00°
Positions (direct):
Ba: 0.000 0.000 0.000
Mg: 0.000 0.500 0.500
Mg: 0.500 0.000 0.500
Cd: 0.500 0.500 0.000
Ni: 0.500 0.500 0.500

Results
**ΔH_f (0 K)**: -0.115 eV/atom
**Crystal system**: tetragonal
**V**: 26.330 A^3/atom

=====

(9)
VASP calculation (PBE) on BaMgCd2Ni after structural relaxation.

a = 5.126 Å, b = 5.126 Å, c = 4.885 Å
α = 90.00°, β = 90.00°, γ = 90.00°
Positions (direct):
Ba: 0.000 0.000 0.000
Mg: 0.500 0.500 0.000
Cd: 0.000 0.500 0.500
Cd: 0.500 0.000 0.500
Ni: 0.500 0.500 0.500

Results
**ΔH_f (0 K)**: -0.146 eV/atom
**Crystal system**: tetragonal
**V**: 25.673 A^3/atom

=====

(10)
VASP calculation (PBE) on Ba3MgCd2O6 after structural relaxation.

a = 6.216 Å, b = 6.216 Å, c = 6.769 Å
α = 90.00°, β = 90.00°, γ = 120.00°
Positions (direct):
Ba: 0.000 0.000 0.000
Ba: 0.333 0.667 0.622
Ba: 0.667 0.333 0.378
Mg: 0.000 0.000 0.500
Cd: 0.333 0.667 0.157
Cd: 0.667 0.333 0.843
O: 0.161 0.321 0.311
O: 0.161 0.839 0.311
O: 0.321 0.161 0.689
O: 0.679 0.839 0.311
O: 0.839 0.161 0.689
O: 0.839 0.679 0.689

Results
**Uncorrected formation energy**: -1763.6 meV per atom
**Crystal system**: trigonal
**V**: 18.878 A^3/atom

=====

(11)
VASP calculation (PBE) on Ba2MgCdP after structural relaxation.

a = 6.315 Å, b = 6.315 Å, c = 4.886 Å
α = 90.00°, β = 90.00°, γ = 90.00°
Positions (direct):
Ba: 0.000 0.500 0.000
Ba: 0.500 0.000 0.000
Mg: 0.000 0.000 0.500
Cd: 0.500 0.500 0.500
P: 0.000 0.000 0.000

Results
**ΔH_f (0 K)**: -0.420 eV/atom
**Crystal system**: tetragonal
**V**: 38.973 A^3/atom

=====

(12)
VASP calculation (PBE) on BaMgCd2Pb after structural relaxation.

a = 7.312 Å, b = 7.312 Å, c = 7.312 Å
α = 141.35°, β = 141.20°, γ = 55.92°
Positions (direct):
Ba: 0.000 0.000 0.000
Mg: 0.253 0.753 0.500
Cd: 0.621 0.621 0.000
Cd: 0.748 0.248 0.500
Pb: 0.390 0.390 0.000

Results
**ΔH_f (0 K)**: -0.323 eV/atom
**Crystal system**: orthorhombic
**V**: 30.368 A^3/atom

=====

(13)
VASP calculation (PBE) on Ba2MgCdPb6 after structural relaxation.

a = 14.477 Å, b = 14.477 Å, c = 14.477 Å
α = 30.80°, β = 30.80°, γ = 30.80°
Positions (direct):
Ba: 0.118 0.118 0.118
Ba: 0.295 0.295 0.295
Ba: 0.705 0.705 0.705
Ba: 0.882 0.882 0.882
Mg: 0.430 0.430 0.430
Mg: 0.570 0.570 0.570
Cd: 0.000 0.000 0.000
Cd: 0.500 0.500 0.500
Pb: 0.064 0.658 0.658
Pb: 0.230 0.230 0.670
Pb: 0.230 0.670 0.230
Pb: 0.330 0.770 0.770
Pb: 0.342 0.342 0.936
Pb: 0.342 0.936 0.342
Pb: 0.658 0.064 0.658
Pb: 0.658 0.658 0.064
Pb: 0.670 0.230 0.230
Pb: 0.770 0.330 0.770
Pb: 0.770 0.770 0.330
Pb: 0.936 0.342 0.342

Results
**ΔH_f (0 K)**: -0.176 eV/atom
**Crystal system**: trigonal
**V**: 35.279 A^3/atom

=====

(14)
VASP calculation (PBE) on Ba2MgCd4Pb3 after structural relaxation.

a = 4.915 Å, b = 4.915 Å, c = 12.967 Å
α = 90.00°, β = 90.00°, γ = 90.00°
Positions (direct):
Ba: 0.000 0.500 0.242
Ba: 0.500 0.000 0.758
Mg: 0.000 0.000 0.500
Cd: 0.000 0.000 0.000
Cd: 0.000 0.500 0.635
Cd: 0.500 0.000 0.365
Cd: 0.500 0.500 0.000
Pb: 0.000 0.500 0.862
Pb: 0.500 0.000 0.138
Pb: 0.500 0.500 0.500

Results
**ΔH_f (0 K)**: -0.301 eV/atom
**Crystal system**: tetragonal
**V**: 31.319 A^3/atom

=====

(15)
VASP calculation (PBE) on Ba2MgCd3Pb4 after structural relaxation.

a = 5.011 Å, b = 5.011 Å, c = 12.765 Å
α = 90.00°, β = 90.00°, γ = 90.00°
Positions (direct):
Ba: 0.000 0.500 0.247
Ba: 0.500 0.000 0.753
Mg: 0.500 0.500 0.000
Cd: 0.000 0.000 0.000
Cd: 0.000 0.500 0.639
Cd: 0.500 0.000 0.361
Pb: 0.000 0.000 0.500
Pb: 0.000 0.500 0.867
Pb: 0.500 0.000 0.133
Pb: 0.500 0.500 0.500

Results
**ΔH_f (0 K)**: -0.341 eV/atom
**Crystal system**: tetragonal
**V**: 32.056 A^3/atom

=====

(16)
VASP calculation (PBE) on BaMgCd2Pb4 after structural relaxation.

a = 10.321 Å, b = 10.321 Å, c = 10.321 Å
α = 30.10°, β = 30.10°, γ = 30.10°
Positions (direct):
Ba: 0.000 0.000 0.000
Mg: 0.500 0.500 0.500
Cd: 0.252 0.252 0.252
Cd: 0.748 0.748 0.748
Pb: 0.132 0.132 0.132
Pb: 0.400 0.400 0.400
Pb: 0.600 0.600 0.600
Pb: 0.868 0.868 0.868

Results
**ΔH_f (0 K)**: -0.153 eV/atom
**Crystal system**: trigonal
**V**: 30.618 A^3/atom

=====

(17)
VASP calculation (PBE) on BaMg2CdPb2 after structural relaxation.

a = 8.130 Å, b = 8.941 Å, c = 5.417 Å
α = 90.00°, β = 90.00°, γ = 90.00°
Positions (direct):
Ba: 0.000 0.000 0.000
Ba: 0.500 0.500 0.500
Mg: 0.179 0.195 0.500
Mg: 0.321 0.695 0.000
Mg: 0.679 0.305 0.000
Mg: 0.821 0.805 0.500
Cd: 0.000 0.500 0.000
Cd: 0.500 0.000 0.500
Pb: 0.206 0.806 0.500
Pb: 0.294 0.306 0.000
Pb: 0.706 0.694 0.000
Pb: 0.794 0.194 0.500

Results
**ΔH_f (0 K)**: -0.141 eV/atom
**Crystal system**: orthorhombic
**V**: 32.817 A^3/atom

=====

(18)
VASP calculation (PBE) on BaMgCdPb3 after structural relaxation.

a = 8.189 Å, b = 8.189 Å, c = 7.710 Å
α = 90.00°, β = 90.00°, γ = 125.29°
Positions (direct):
Ba: 0.186 0.814 0.750
Ba: 0.814 0.186 0.250
Mg: 0.137 0.863 0.250
Mg: 0.863 0.137 0.750
Cd: 0.412 0.588 0.750
Cd: 0.588 0.412 0.250
Pb: 0.225 0.225 0.000
Pb: 0.225 0.225 0.500
Pb: 0.359 0.641 0.250
Pb: 0.641 0.359 0.750
Pb: 0.775 0.775 0.000
Pb: 0.775 0.775 0.500

Results
**ΔH_f (0 K)**: -0.055 eV/atom
**Crystal system**: orthorhombic
**V**: 35.169 A^3/atom

=====

(19)
VASP calculation (PBE) on Ba2Mg4CdPb3 after structural relaxation.

a = 4.922 Å, b = 4.922 Å, c = 12.635 Å
α = 90.00°, β = 90.00°, γ = 90.00°
Positions (direct):
Ba: 0.000 0.500 0.248
Ba: 0.500 0.000 0.752
Mg: 0.000 0.000 0.000
Mg: 0.000 0.500 0.633
Mg: 0.500 0.000 0.367
Mg: 0.500 0.500 0.000
Cd: 0.000 0.000 0.500
Pb: 0.000 0.500 0.863
Pb: 0.500 0.000 0.137
Pb: 0.500 0.500 0.500

Results
**ΔH_f (0 K)**: -0.342 eV/atom
**Crystal system**: tetragonal
**V**: 30.605 A^3/atom

=====

(20)
VASP calculation (PBE) on BaMgCdPb after structural relaxation.

a = 5.621 Å, b = 5.621 Å, c = 5.621 Å
α = 60.00°, β = 60.00°, γ = 60.00°
Positions (direct):
Ba: 0.000 0.000 0.000
Mg: 0.500 0.500 0.500
Cd: 0.750 0.750 0.750
Pb: 0.250 0.250 0.250

Results
**ΔH_f (0 K)**: -0.275 eV/atom
**Crystal system**: cubic
**V**: 31.401 A^3/atom

=====

(21)
VASP calculation (PBE) on BaMg2Cd4Pb after structural relaxation.

a = 11.055 Å, b = 11.055 Å, c = 11.055 Å
α = 26.03°, β = 26.03°, γ = 26.03°
Positions (direct):
Ba: 0.000 0.000 0.000
Mg: 0.241 0.241 0.241
Mg: 0.759 0.759 0.759
Cd: 0.119 0.119 0.119
Cd: 0.400 0.400 0.400
Cd: 0.600 0.600 0.600
Cd: 0.881 0.881 0.881
Pb: 0.500 0.500 0.500

Results
**ΔH_f (0 K)**: -0.133 eV/atom
**Crystal system**: trigonal
**V**: 28.649 A^3/atom

=====

(22)
VASP calculation (PBE) on Ba2Mg3Cd12Pd after structural relaxation.

a = 12.636 Å, b = 12.636 Å, c = 12.636 Å
α = 31.76°, β = 31.76°, γ = 31.76°
Positions (direct):
Ba: 0.145 0.145 0.145
Ba: 0.855 0.855 0.855
Mg: 0.000 0.500 0.500
Mg: 0.500 0.000 0.500
Mg: 0.500 0.500 0.000
Cd: 0.089 0.089 0.659
Cd: 0.089 0.659 0.089
Cd: 0.138 0.592 0.592
Cd: 0.341 0.911 0.911
Cd: 0.408 0.408 0.862
Cd: 0.408 0.862 0.408
Cd: 0.592 0.138 0.592
Cd: 0.592 0.592 0.138
Cd: 0.659 0.089 0.089
Cd: 0.862 0.408 0.408
Cd: 0.911 0.341 0.911
Cd: 0.911 0.911 0.341
Pd: 0.500 0.500 0.500

Results
**ΔH_f (0 K)**: -0.095 eV/atom
**Crystal system**: trigonal
**V**: 27.582 A^3/atom

=====

(23)
VASP calculation (PBE) on BaMgCd2Pd after structural relaxation.

a = 5.351 Å, b = 5.351 Å, c = 5.019 Å
α = 90.00°, β = 90.00°, γ = 90.00°
Positions (direct):
Ba: 0.000 0.000 0.000
Mg: 0.500 0.500 0.000
Cd: 0.000 0.500 0.500
Cd: 0.500 0.000 0.500
Pd: 0.500 0.500 0.500

Results
**ΔH_f (0 K)**: -0.336 eV/atom
**Crystal system**: tetragonal
**V**: 28.741 A^3/atom